## a
Density functional theory data (PBE-GGA) for a geometry-optimized NiPb3I structure.

Lattice parameters (Å, degrees): 5.304 5.304 5.304 90.00 90.00 90.00
Atoms (fractional coordinates):
Pb 0.000 0.500 0.000
Pb 0.000 0.000 0.500
Pb 0.500 0.000 0.000
I 0.500 0.500 0.500
Ni 0.000 0.000 0.000

## b
Density functional theory data (PBE-GGA) for a geometry-optimized NiPb3I structure.

Lattice parameters (Å, degrees): 5.965 5.965 5.965 90.00 90.00 90.00
Atoms (fractional coordinates):
Pb 0.000 0.500 0.000
Pb 0.000 0.000 0.500
Pb 0.500 0.000 0.000
I 0.000 0.000 0.000
Ni 0.500 0.500 0.500

Most stable to least stable, the ends of the list are a and b.

## a
Density functional theory data (PBE-GGA) for a geometry-optimized NiPb2I structure.

Lattice parameters (Å, degrees): 5.382 5.382 5.382 60.00 60.00 60.00
Atoms (fractional coordinates):
Pb 0.250 0.250 0.250
Pb 0.750 0.750 0.750
I 0.500 0.500 0.500
Ni 0.000 0.000 0.000

## b
Density functional theory data (PBE-GGA) for a geometry-optimized NiPb2I structure.

Lattice parameters (Å, degrees): 6.586 6.586 8.203 66.33 66.33 90.00
Atoms (fractional coordinates):
Pb 0.508 0.125 0.250
Pb 0.242 0.625 0.250
Pb 0.375 0.492 0.750
Pb 0.875 0.758 0.750
I 0.000 0.000 0.000
I 0.750 0.250 0.500
Ni 0.500 0.500 0.000
Ni 0.250 0.750 0.500

Most stable to least stable, the ends of the list are b and a.

## a
Density functional theory data (PBE-GGA) for a geometry-optimized NiSb2PbI structure.

Lattice parameters (Å, degrees): 5.881 5.881 6.094 90.00 90.00 90.00
Last column: magnetic moment on the atom in μB.
Atoms (fractional coordinates):
Pb 0.000 0.000 0.000  0.00
I 0.000 0.000 0.500  0.12
Ni 0.500 0.500 0.500  1.01
Sb 0.000 0.500 0.000  0.24
Sb 0.500 0.000 0.000  0.24

## b
Density functional theory data (PBE-GGA) for a geometry-optimized NiSb2PbI structure.

Lattice parameters (Å, degrees): 4.991 4.991 5.689 90.00 90.00 90.00
Atoms (fractional coordinates):
Pb 0.500 0.500 0.500
I 0.000 0.000 0.500
Ni 0.000 0.000 0.000
Sb 0.000 0.500 0.000
Sb 0.500 0.000 0.000

Most stable to least stable, the ends of the list are b and a.

## a
Density functional theory data (PBE-GGA) for a geometry-optimized NiTe2PbI structure.

Lattice parameters (Å, degrees): 5.141 5.141 5.401 90.00 90.00 90.00
Atoms (fractional coordinates):
Pb 0.500 0.500 0.500
I 0.000 0.000 0.500
Te 0.000 0.500 0.000
Te 0.500 0.000 0.000
Ni 0.000 0.000 0.000

## b
Density functional theory data (PBE-GGA) for a geometry-optimized NiTe2PbI structure.

Lattice parameters (Å, degrees): 5.908 5.908 6.089 90.00 90.00 90.00
Last column: magnetic moment on the atom in μB.
Atoms (fractional coordinates):
Pb 0.000 0.000 0.000  0.00
I 0.000 0.000 0.500  0.06
Te 0.000 0.500 0.000  0.15
Te 0.500 0.000 0.000  0.15
Ni 0.500 0.500 0.500  1.02

Most stable to least stable, the ends of the list are a and b.

## a
Density functional theory data (PBE-GGA) for a geometry-optimized NiPdI3 structure.

Lattice parameters (Å, degrees): 4.159 6.751 11.073 90.00 100.82 90.00
Last column: magnetic moment on the atom in μB.
Atoms (fractional coordinates):
Ni 0.879 0.925 0.759  0.73
Ni 0.121 0.425 0.241  0.73
Pd 0.329 0.519 0.659  -0.07
Pd 0.671 0.019 0.341  -0.07
I 0.881 0.300 0.762  0.02
I 0.119 0.800 0.238  0.02
I 0.567 0.303 0.134  0.11
I 0.433 0.803 0.866  0.11
I 0.775 0.747 0.551  0.00
I 0.225 0.247 0.449  0.00

## b
Density functional theory data (PBE-GGA) for a geometry-optimized NiPdI3 structure.

Lattice parameters (Å, degrees): 5.272 5.272 5.272 90.00 90.00 90.00
Atoms (fractional coordinates):
I 0.000 0.500 0.000
I 0.000 0.000 0.500
I 0.500 0.000 0.000
Ni 0.000 0.000 0.000
Pd 0.500 0.500 0.500

Most stable to least stable, the ends of the list are a and b.

## a
Density functional theory data (PBE-GGA) for a geometry-optimized NiPt2I structure.

Lattice parameters (Å, degrees): 3.862 3.862 9.937 78.80 78.80 90.00
Atoms (fractional coordinates):
I 0.000 0.000 0.000
I 0.750 0.250 0.500
Ni 0.500 0.500 0.000
Ni 0.250 0.750 0.500
Pt 0.611 0.125 0.250
Pt 0.139 0.625 0.250
Pt 0.375 0.389 0.750
Pt 0.875 0.861 0.750

## b
Density functional theory data (PBE-GGA) for a geometry-optimized NiPt2I structure.

Lattice parameters (Å, degrees): 4.583 4.583 4.583 60.00 60.00 60.00
Atoms (fractional coordinates):
I 0.500 0.500 0.500
Ni 0.000 0.000 0.000
Pt 0.250 0.250 0.250
Pt 0.750 0.750 0.750

Most stable to least stable, the ends of the list are a and b.

## a
Density functional theory data (PBE-GGA) for a geometry-optimized NiPtI2 structure.

Lattice parameters (Å, degrees): 6.003 6.003 7.277 65.64 65.64 90.00
Atoms (fractional coordinates):
I 0.603 0.125 0.250
I 0.147 0.625 0.250
I 0.375 0.397 0.750
I 0.875 0.853 0.750
Ni 0.500 0.500 0.000
Ni 0.250 0.750 0.500
Pt 0.000 0.000 0.000
Pt 0.750 0.250 0.500

## b
Density functional theory data (PBE-GGA) for a geometry-optimized NiPtI2 structure.

Lattice parameters (Å, degrees): 4.970 4.970 4.970 60.00 60.00 60.00
Last column: magnetic moment on the atom in μB.
Atoms (fractional coordinates):
I 0.250 0.250 0.250  0.16
I 0.750 0.750 0.750  0.16
Ni 0.000 0.000 0.000  0.68
Pt 0.500 0.500 0.500  0.23

Most stable to least stable, the ends of the list are a and b.